(1)
ZnRe2Ag: optimized geometry, PBE.

Structure (CIF):
```
data_ZnRe2Ag
_symmetry_space_group_name_H-M 'R 3 m'
_symmetry_Int_Tables_number 160
_symmetry_space_group_name_Hall 'R 3 -2"'
_cell_length_a 2.8020
_cell_length_b 2.8020
_cell_length_c 27.4674
_cell_angle_alpha 90.00
_cell_angle_beta 90.00
_cell_angle_gamma 120.00
loop_
_atom_site_label
_atom_site_type_symbol
_atom_site_fract_x
_atom_site_fract_y
_atom_site_fract_z
Zn1 Zn 0.0000 0.0000 0.0000
Re1 Re 0.0000 0.0000 0.2504
Re2 Re 0.0000 0.0000 0.5083
Ag1 Ag 0.0000 0.0000 0.7501
```

Computed properties:
The formation energy comes out at 0.11 eV/atom. The value obtained for the density of states at the Fermi level is 0.7 states/eV/f.u. The calculated total energy is -7.1486 eV/atom.


(2)
LiScTl2V: optimized geometry, PBE.

Structure (CIF):
```
data_LiScTl2V
_symmetry_space_group_name_H-M 'P 4/m m m'
_symmetry_Int_Tables_number 123
_symmetry_space_group_name_Hall '-P 4 2'
_cell_length_a 4.7009
_cell_length_b 4.7009
_cell_length_c 4.8204
_cell_angle_alpha 90.00
_cell_angle_beta 90.00
_cell_angle_gamma 90.00
loop_
_atom_site_label
_atom_site_type_symbol
_atom_site_fract_x
_atom_site_fract_y
_atom_site_fract_z
Li1 Li 0.0000 0.0000 0.0000
Sc1 Sc 0.0000 0.0000 0.5000
Tl1 Tl 0.0000 0.5000 0.0000
V1 V 0.5000 0.5000 0.5000
```

Computed properties:
The formation energy comes out at 0.80 eV/atom. The value obtained for the density of states at the Fermi level is 5.8 states/eV/f.u. The calculated total energy is -3.6163 eV/atom.


(3)
KFeW: optimized geometry, PBE.

Structure (CIF):
```
data_KFeW
_symmetry_space_group_name_H-M 'P 3 m 1'
_symmetry_Int_Tables_number 156
_cell_length_a 2.9849
_cell_length_b 2.9849
_cell_length_c 7.8815
_cell_angle_alpha 90.00
_cell_angle_beta 90.00
_cell_angle_gamma 120.00
loop_
_symmetry_equiv_pos_as_xyz
'x,y,z'
'-y,x-y,z'
'-x+y,-x,z'
'-y,-x,z'
'-x+y,y,z'
'x,x-y,z'
loop_
_atom_site_label
_atom_site_type_symbol
_atom_site_fract_x
_atom_site_fract_y
_atom_site_fract_z
K1 K 0.0000 0.0000 0.0000
Fe1 Fe 0.6667 0.3333 0.6212
W1 W 0.3333 0.6667 0.4045
```

Computed properties:
The formation energy comes out at 1.09 eV/atom. The value obtained for the density of states at the Fermi level is 2.3 states/eV/f.u. The calculated total energy is -6.4107 eV/atom.